Entry from the Alexandria database: a relaxed Li5Mn2V3O10 crystal (GGA+U).

Geometry as POSCAR:
```
Li5Mn2V3O10
1.0
5.173 0.000 0.000
-1.068 5.187 0.000
-1.822 -2.565 7.204
Li Mn V O
5 2 3 10
Cartesian
0.000 0.000 0.000 Li
-0.933 -0.714 5.288 Li
0.765 2.761 0.584 Li
1.518 -0.138 6.620 Li
3.216 3.337 1.916 Li
-0.233 2.085 5.852 Mn
2.516 0.538 1.352 Mn
-0.139 1.035 2.823 V
1.676 -1.282 3.602 V
2.423 1.587 4.381 V
-1.856 0.970 6.011 O
-0.928 2.587 3.989 O
0.844 -0.475 1.916 O
-0.084 -1.435 6.928 O
0.764 0.322 4.557 O
1.520 2.300 2.646 O
2.367 4.058 0.276 O
1.440 3.097 5.288 O
3.211 0.036 3.215 O
4.139 1.653 1.192 O
```

The theoretical density comes out at 3.93 g/cm³. For the volume, the calculation gives 193.3 Å³/f.u. Its space-group type is P-1. For the spin magnetization, the calculation gives 14.0 μB/cell. Its total energy is -0.4981 Ry/atom.